Record 1
Compound: BaTmO3
Source: OQMD
Functional: GGA-PBE
Structure: relaxed

The calculation puts the calculated total energy at -6.8549 eV/atom. The total magnetic moment is 1.0 μB/f.u. For the density, the calculation gives 6525 kg/m³.

```
BaTmO3
1.0
6.760 0.000 0.000
0.000 6.429 0.000
0.000 0.000 8.299
Ba O Tm
4 12 4
Direct
0.500 0.000 0.000 Ba
0.000 0.500 0.000 Ba
0.500 0.000 0.500 Ba
0.000 0.500 0.500 Ba
0.623 0.406 0.057 O
0.877 0.906 0.057 O
0.182 0.334 0.250 O
0.318 0.834 0.250 O
0.623 0.406 0.443 O
0.877 0.906 0.443 O
0.123 0.094 0.557 O
0.377 0.594 0.557 O
0.682 0.166 0.750 O
0.818 0.666 0.750 O
0.123 0.094 0.943 O
0.377 0.594 0.943 O
0.065 0.021 0.250 Tm
0.435 0.521 0.250 Tm
0.565 0.479 0.750 Tm
0.935 0.979 0.750 Tm
```

---

Record 2
Compound: RbNdSnS3
Source: OQMD
Functional: GGA-PBE
Structure: relaxed

For the energy relative to the lowest polymorph listed for this composition, the calculation gives 10.96 kJ per mole of atoms. The total magnetic moment is 0.0 μB/f.u. For the density, the calculation gives 3697 kg/m³.

```
RbNdSnS3
1.0
2.061 -8.333 0.000
2.061 8.333 0.000
0.000 0.000 11.630
Nd Rb S Sn
2 2 6 2
Direct
0.500 0.500 0.000 Nd
0.500 0.500 0.500 Nd
0.180 0.820 0.250 Rb
0.820 0.180 0.750 Rb
0.886 0.114 0.011 S
0.490 0.510 0.250 S
0.886 0.114 0.489 S
0.114 0.886 0.511 S
0.510 0.490 0.750 S
0.114 0.886 0.989 S
0.885 0.116 0.250 Sn
0.116 0.885 0.750 Sn
```

---

Record 3
Compound: Lu8Cu2C3N3
Source: OQMD
Functional: GGA-PBE
Structure: relaxed

The calculation puts the calculated total energy at -6.8066 eV/atom. The total magnetic moment is 0.0 μB/f.u. For the density, the calculation gives 10605 kg/m³.

```
Lu8Cu2C3N3
1.0
3.427 0.000 0.000
-1.714 2.968 0.000
0.000 0.000 24.705
C Cu Lu N
3 2 8 3
Direct
0.000 0.000 0.000 C
0.667 0.333 0.121 C
0.333 0.667 0.879 C
0.333 0.667 0.256 Cu
0.667 0.333 0.744 Cu
0.333 0.667 0.057 Lu
0.000 0.000 0.169 Lu
0.000 0.000 0.338 Lu
0.333 0.667 0.446 Lu
0.667 0.333 0.554 Lu
0.000 0.000 0.662 Lu
0.000 0.000 0.831 Lu
0.667 0.333 0.943 Lu
0.667 0.333 0.388 N
0.000 0.000 0.500 N
0.333 0.667 0.612 N
```

---

Record 4
Compound: CuSb
Source: OQMD
Functional: GGA-PBE
Structure: relaxed

The calculation puts the calculated total energy at -3.6393 eV/atom. For the density, the calculation gives 7756 kg/m³.

```
CuSb
1.0
3.395 0.000 0.000
-1.698 2.940 0.000
0.000 0.000 3.975
Cu Sb
1 1
Direct
0.667 0.333 0.750 Cu
0.333 0.667 0.250 Sb
```

---

The highest density belongs to which entry? Lu8Cu2C3N3